## one
Tb8PrSc2 | PBE-GGA | optimized geometry

Summary:
Its crystal system is monoclinic. The value obtained for the volume is 31.44 Å³/atom.

Cell: 8.8853 15.9511 5.8066 Å, 90.00 122.80 90.00°
Closest atoms and distances in Å follow each position.
Space group C2/m (No. 12)
Unique sites:
1 Tb 0.0000 0.2087 0.0000  2 Sc 3.32, 1 Pr 3.33, 6 Tb 3.47-3.64
2 Tb 0.0723 0.5000 0.7917  3 Tb 2.90-3.24
3 Tb 0.2189 0.1210 0.6752  5 Tb 3.24-3.58, 2 Sc 3.36-3.42
4 Pr 0.0000 0.0000 0.0000  4 Tb 3.31-3.33
5 Sc 0.0000 0.3095 0.5000  8 Tb 3.32-3.42

---

## two
Tb8PrSc2 | PBE-GGA | optimized geometry

Summary:
Its crystal system is orthorhombic. The value obtained for the volume is 31.52 Å³/atom.

Cell: 5.4121 8.1992 15.6290 Å, 90.00 90.00 90.00°
Closest atoms and distances in Å follow each position.
Space group Immm (No. 71)
Unique sites:
1 Tb 0.0000 0.0000 0.1643  8 Tb 3.44-3.65, 2 Sc 3.44, 2 Pr 3.73
2 Tb 0.0000 0.2042 0.3565  3 Sc 3.30-3.45, 1 Pr 3.30, 6 Tb 3.35-3.65
3 Tb 0.0000 0.3006 0.0000  7 Tb 3.27-3.56, 2 Sc 3.52, 2 Pr 3.66
4 Pr 0.0000 0.5000 0.5000  8 Tb 3.30-3.66
5 Sc 0.0000 0.5000 0.1994  10 Tb 3.30-3.52

---

From most stable to least stable, the computed energies give two, one.

---

## one
TbPrSc4 | PBE-GGA | optimized geometry

Summary:
Its crystal system is orthorhombic. The value obtained for the volume is 27.43 Å³/atom.

Cell: 6.5828 18.6197 5.3704 Å, 90.00 90.00 90.00°
Closest atoms and distances in Å follow each position.
Space group Cmcm (No. 63)
Unique sites:
1 Tb 0.0000 0.1267 0.2500  2 Pr 3.29, 12 Sc 3.49-3.53
2 Pr 0.0000 0.3769 0.7500  2 Tb 3.29, 12 Sc 3.50-3.54
3 Sc 0.2454 0.0417 0.7500  5 Sc 3.10-3.35
4 Sc 0.2488 0.2085 0.7500  5 Sc 3.10-3.31

---

## two
TbPrSc4 | PBE-GGA | optimized geometry

Summary:
Its crystal system is monoclinic. The value obtained for the volume is 27.69 Å³/atom.

Cell: 6.1970 6.6490 8.2902 Å, 90.00 103.42 90.00°
Closest atoms and distances in Å follow each position.
Space group P2_1/m (No. 11)
Unique sites:
1 Tb 0.2269 0.2500 0.0067  6 Sc 2.99-3.33
2 Pr 0.3542 0.7500 0.6546  8 Sc 3.22-3.33, 1 Tb 3.35
3 Sc 0.0964 0.5046 0.3140  8 Sc 3.26-3.57, 2 Tb 3.31-3.36, 2 Pr 3.33
4 Sc 0.2622 0.7500 0.0216  4 Tb 2.99-3.33, 3 Sc 3.14-3.28, 1 Pr 3.22
5 Sc 0.3804 0.2500 0.6412  5 Sc 3.14-3.47, 3 Pr 3.25-3.33, 1 Tb 3.38

---

From most stable to least stable, the computed energies give one, two.

---

## one
Tb2Pr2Sc | PBE-GGA | optimized geometry

Summary:
Its crystal system is orthorhombic. The value obtained for the volume is 32.36 Å³/atom.

Cell: 3.5318 5.6880 32.2156 Å, 90.00 90.00 90.00°
Closest atoms and distances in Å follow each position.
Space group Imma (No. 74)
Unique sites:
1 Tb 0.0000 0.2500 0.0195  3 Tb 3.07-3.11
2 Tb 0.0000 0.2500 0.1148  1 Tb 3.07, 2 Pr 3.43
3 Pr 0.0000 0.2500 0.2940  8 Pr 3.34-3.53, 2 Tb 3.43
4 Pr 0.0000 0.2500 0.8148  6 Pr 3.41-3.53, 2 Tb 3.64
5 Sc 0.0000 0.2500 0.5730  10 Tb 3.46-3.77, 2 Sc 3.53

---

## two
Tb2Pr2Sc | PBE-GGA | optimized geometry

Summary:
Its crystal system is monoclinic. The value obtained for the volume is 33.41 Å³/atom.

Cell: 7.6195 5.4064 8.6581 Å, 90.00 110.51 90.00°
Closest atoms and distances in Å follow each position.
Space group P2_1/m (No. 11)
Unique sites:
1 Tb 0.0677 0.2500 0.1045  4 Pr 3.18-3.53, 3 Sc 3.18-3.24, 2 Tb 3.22
2 Tb 0.4255 0.7500 0.8402  3 Sc 3.42-3.47, 3 Tb 3.72-3.75, 2 Pr 3.75
3 Pr 0.0639 0.2500 0.6969  1 Pr 3.23, 1 Sc 3.34, 3 Tb 3.52-3.53
4 Pr 0.3334 0.2500 0.4811  1 Sc 3.10, 1 Tb 3.18, 1 Pr 3.23
5 Sc 0.3182 0.7500 0.1985  2 Pr 3.10-3.34, 5 Tb 3.18-3.42

---

From most stable to least stable, the computed energies give one, two.

---

## one
Tb6PrSc | PBE-GGA | optimized geometry

Summary:
Its crystal system is monoclinic. The value obtained for the volume is 35.04 Å³/atom.

Cell: 9.1036 7.0163 9.1201 Å, 90.00 105.73 90.00°
Closest atoms and distances in Å follow each position.
Space group C2/m (No. 12)
Unique sites:
1 Tb 0.1330 0.0000 0.4267  3 Tb 3.07-3.34, 1 Sc 3.22
2 Tb 0.1970 0.2441 0.7891  1 Sc 3.29, 5 Tb 3.34-3.63, 2 Pr 3.41-3.42
3 Pr 0.0000 0.0000 0.0000  10 Tb 3.41-3.75
4 Sc 0.0000 0.5000 0.5000  6 Tb 3.22-3.29

---

## two
Tb6PrSc | PBE-GGA | optimized geometry

Summary:
Its crystal system is tetragonal. The value obtained for the volume is 31.52 Å³/atom.

Cell: 5.0271 5.0271 9.9778 Å, 90.00 90.00 90.00°
Closest atoms and distances in Å follow each position.
Space group P4/mmm (No. 123)
Unique sites:
1 Tb 0.0000 0.0000 0.0000  8 Tb 3.49, 4 Sc 3.55
2 Tb 0.0000 0.0000 0.5000  4 Pr 3.55, 8 Tb 3.60
3 Tb 0.0000 0.5000 0.2421  8 Tb 3.49-3.60, 2 Sc 3.49, 2 Pr 3.60
4 Pr 0.5000 0.5000 0.5000  12 Tb 3.55-3.60
5 Sc 0.5000 0.5000 0.0000  12 Tb 3.49-3.55

---

From most stable to least stable, the computed energies give two, one.

---

## one
Tb4Pr2Sc | PBE-GGA | optimized geometry

Summary:
Its crystal system is tetragonal. The value obtained for the volume is 36.27 Å³/atom.

Cell: 5.3917 5.3917 17.4686 Å, 90.00 90.00 90.00°
Closest atoms and distances in Å follow each position.
Space group I4/mmm (No. 139)
Unique sites:
1 Tb 0.0000 0.0000 0.1749  1 Sc 3.06
2 Tb 0.0000 0.5000 0.0000  2 Sc 2.70
3 Pr 0.0000 0.0000 0.3729  5 Tb 3.46-3.49
4 Sc 0.0000 0.0000 0.0000  4 Tb 2.70

---

## two
Tb4Pr2Sc | PBE-GGA | optimized geometry

Summary:
Its crystal system is monoclinic. The value obtained for the volume is 32.75 Å³/atom.

Cell: 6.7457 12.1618 11.1784 Å, 90.00 90.07 90.00°
Closest atoms and distances in Å follow each position.
Space group C2/c (No. 15)
Unique sites:
1 Tb 0.0000 0.2212 0.0454  1 Sc 3.14, 2 Tb 3.33
2 Tb 0.2201 0.5000 0.9998  3 Tb 2.97-3.33
3 Pr 0.0000 0.0386 0.7500  4 Tb 3.41, 2 Sc 3.46, 1 Pr 3.49
4 Pr 0.0000 0.3255 0.7500  1 Sc 3.36, 1 Pr 3.49, 2 Tb 3.54
5 Sc 0.0000 0.3982 0.2500  6 Tb 3.14-3.40, 3 Pr 3.36-3.46

---

From most stable to least stable, the computed energies give two, one.

---

## one
Tb5Pr4Sc | PBE-GGA | optimized geometry

Summary:
Its crystal system is tetragonal. The value obtained for the volume is 32.97 Å³/atom.

Cell: 4.1905 4.1905 18.7750 Å, 90.00 90.00 90.00°
Closest atoms and distances in Å follow each position.
Space group P4/mmm (No. 123)
Unique sites:
1 Tb 0.0000 0.0000 0.0000  8 Pr 3.54, 2 Tb 3.82
2 Tb 0.0000 0.0000 0.2036  8 Pr 3.50-3.51, 2 Tb 3.82-3.86
3 Tb 0.0000 0.0000 0.4091  1 Tb 3.41, 4 Sc 3.42, 4 Pr 3.57
4 Pr 0.5000 0.5000 0.1030  8 Tb 3.51-3.54, 2 Pr 3.75-3.87
5 Pr 0.5000 0.5000 0.3027  8 Tb 3.50-3.57, 1 Sc 3.70, 1 Pr 3.75
6 Sc 0.5000 0.5000 0.5000  8 Tb 3.42, 2 Pr 3.70

---

## two
Tb5Pr4Sc | PBE-GGA | optimized geometry

Summary:
Its crystal system is monoclinic. The value obtained for the volume is 33.57 Å³/atom.

Cell: 18.0718 3.5997 10.3628 Å, 90.00 95.15 90.00°
Closest atoms and distances in Å follow each position.
Space group C2/m (No. 12)
Unique sites:
1 Tb 0.0000 0.0000 0.0000  4 Pr 3.28, 2 Tb 3.60
2 Tb 0.1449 0.5000 0.7384  2 Pr 3.31-3.66, 3 Tb 3.60-3.70
3 Tb 0.1894 0.5000 0.0939  1 Pr 3.37, 5 Tb 3.55-3.70
4 Pr 0.0383 0.5000 0.2616  2 Sc 3.18, 4 Tb 3.28-3.37, 2 Pr 3.40
5 Pr 0.1799 0.0000 0.4136  6 Pr 3.40-3.60, 1 Sc 3.45, 3 Tb 3.66-3.79
6 Sc 0.0000 0.0000 0.5000  6 Pr 3.18-3.45

---

From most stable to least stable, the computed energies give one, two.